# PBE+U CoTcF6, relaxed
# - SG: P-1
# - DFT total energy: -43.730 eV per cell
data_CoTcF6
_chemical_formula_sum 'Co1 Tc1 F6'
_space_group_name_H-M_alt 'P 1'
_space_group_IT_number 1
_cell_length_a 5.258
_cell_length_b 5.274
_cell_length_c 5.539
_cell_angle_alpha 62.10
_cell_angle_beta 62.12
_cell_angle_gamma 60.61
loop_
_space_group_symop_operation_xyz
'x,y,z'
loop_
_atom_site_label
_atom_site_type_symbol
_atom_site_fract_x
_atom_site_fract_y
_atom_site_fract_z
_atom_site_occupancy
Co1 Co 0.000 0.000 0.000 1
Tc1 Tc 0.500 0.500 0.500 1
F1 F 0.144 0.741 0.746 1
F2 F 0.255 0.632 0.255 1
F3 F 0.368 0.142 0.743 1
F4 F 0.632 0.858 0.257 1
F5 F 0.745 0.368 0.745 1
F6 F 0.856 0.259 0.254 1